Material: BaSi2Rh2
Method: DFT, PBEsol
State: optimized geometry

Geometry as POSCAR:
```
BaSi2Rh2
1.0
-0.8782 4.1844 -5.0951
-3.9311 -5.3859 -3.7457
-6.5741 2.7462 3.3884
Si Ba Rh
8 4 8
Direct
0.6499 0.6869 0.4374
0.1499 0.8131 0.5626
0.5782 0.3717 0.0741
0.3501 0.3131 0.5626
0.8501 0.1869 0.4374
0.0782 0.1283 0.9259
0.4218 0.6283 0.9259
0.9218 0.8717 0.0741
0.1166 0.4966 0.2358
0.6166 0.0034 0.7642
0.8834 0.5034 0.7642
0.3834 0.9966 0.2358
0.8964 0.8878 0.3775
0.3964 0.6122 0.6225
0.3323 0.3288 0.8599
0.1036 0.1122 0.6225
0.6677 0.6712 0.1401
0.8323 0.1712 0.1401
0.6036 0.3878 0.3775
0.1677 0.8288 0.8599
```

Summary:
The symmetry is P2_1/c. Its energy is -6.87 eV per atom.